No. 1
DFT (GGA-PBE) results for a relaxed structure of Y3HgO.

Calculated values
DFT total energy = -62.131 eV per cell
Space group = No. 63
Uncorrected formation energy = -1.283 eV per atom
DOS at the Fermi energy = 4.4 states/eV/f.u.
Excess energy over the best structure of this formula in the dataset = 0.1188 eV per atom

Unit cell a=6.315 b=6.315 c=6.709 alpha=90.00 beta=90.00 gamma=76.90
Fractional positions:
Y 0.000 0.000 0.000
Y 0.000 0.000 0.500
Y 0.166 0.467 0.750
Y 0.533 0.834 0.750
Y 0.834 0.533 0.250
Y 0.467 0.166 0.250
Hg 0.669 0.331 0.750
Hg 0.331 0.669 0.250
O 0.192 0.808 0.750
O 0.808 0.192 0.250

---

No. 2
DFT (GGA-PBE) results for a relaxed structure of Pm7Dy12Pb.

Calculated values
DFT total energy = -88.897 eV per cell
Space group = No. 148
DOS at the Fermi energy = 36.0 states/eV/f.u.
E_form = 318 kJ/mol of formula units

Unit cell a=8.773 b=8.773 c=8.773 alpha=89.08 beta=89.08 gamma=89.08
Fractional positions:
Dy 0.338 0.886 0.006
Dy 0.994 0.662 0.114
Dy 0.662 0.114 0.994
Dy 0.463 0.122 0.342
Dy 0.886 0.006 0.338
Dy 0.122 0.342 0.463
Dy 0.878 0.658 0.537
Dy 0.658 0.537 0.878
Dy 0.537 0.878 0.658
Dy 0.342 0.463 0.122
Dy 0.006 0.338 0.886
Dy 0.114 0.994 0.662
Pb 0.000 0.000 0.000
Pm 0.625 0.767 0.216
Pm 0.767 0.216 0.625
Pm 0.500 0.500 0.500
Pm 0.784 0.375 0.233
Pm 0.375 0.233 0.784
Pm 0.233 0.784 0.375
Pm 0.216 0.625 0.767

---

No. 3
DFT (GGA-PBE) results for a relaxed structure of SnTeS2N.

Calculated values
DFT total energy = -20.507 eV per cell
Space group = No. 123
Uncorrected formation energy = 0.643 eV per atom
DOS at the Fermi energy = 1.8 states/eV/f.u.
Excess energy over the best structure of this formula in the dataset = 0.0000 eV per atom

Unit cell a=5.197 b=5.197 c=3.977 alpha=90.00 beta=90.00 gamma=90.00
Fractional positions:
N 0.000 0.000 0.500
Sn 0.500 0.500 0.500
S 0.500 0.000 0.000
S 0.000 0.500 0.000
Te 0.000 0.000 0.000

---

No. 4
DFT (GGA-PBE) results for a relaxed structure of LiZrN.

Calculated values
DFT total energy = -42.789 eV per cell
Space group = No. 166
Uncorrected formation energy = -0.869 eV per atom
DOS at the Fermi energy = 1.4 states/eV/f.u.

Unit cell a=3.759 b=3.759 c=7.907 alpha=76.25 beta=76.25 gamma=60.00
Fractional positions:
Li 0.804 0.804 0.587
Li 0.196 0.196 0.413
Zr 0.383 0.383 0.851
Zr 0.617 0.617 0.149
N 0.284 0.284 0.148
N 0.716 0.716 0.852

---

No. 5
DFT (GGA-PBE) results for a relaxed structure of Zr2Cd3Pd4.

Calculated values
DFT total energy = -45.036 eV per cell
Space group = No. 12
DOS at the Fermi energy = 3.7 states/eV/f.u.
E_form = -427 kJ/mol of formula units

Unit cell a=4.229 b=4.926 c=8.936 alpha=78.31 beta=89.99 gamma=64.58
Fractional positions:
Pd 0.664 0.672 0.889
Pd 0.336 0.328 0.111
Pd 0.006 0.987 0.325
Pd 0.994 0.013 0.675
Zr 0.671 0.657 0.214
Zr 0.329 0.343 0.786
Cd 0.000 0.000 0.000
Cd 0.339 0.322 0.439
Cd 0.661 0.678 0.561

---

No. 6
DFT (GGA-PBE) results for a relaxed structure of SrNi2Mo.

Calculated values
DFT total energy = -42.832 eV per cell
Space group = No. 141
DOS at the Fermi energy = 3.2 states/eV/f.u.
E_form = 257 kJ/mol of formula units
Excess energy over the best structure of this formula in the dataset = 0.4999 eV per atom

Unit cell a=4.906 b=4.906 c=8.521 alpha=73.27 beta=73.27 gamma=90.00
Fractional positions:
Mo 0.000 0.000 0.000
Mo 0.750 0.250 0.500
Sr 0.500 0.500 0.000
Sr 0.250 0.750 0.500
Ni 0.375 0.125 0.750
Ni 0.875 0.125 0.750
Ni 0.875 0.625 0.250
Ni 0.875 0.125 0.250

---

No. 7
DFT (GGA-PBE) results for a relaxed structure of Ce2CdN.

Calculated values
DFT total energy = -23.514 eV per cell
Space group = No. 166
Uncorrected formation energy = -0.601 eV per atom
DOS at the Fermi energy = 7.0 states/eV/f.u.
Excess energy over the best structure of this formula in the dataset = 0.2275 eV per atom

Unit cell a=3.396 b=3.396 c=9.882 alpha=80.11 beta=80.11 gamma=60.00
Last column: magnetic moment on the atom in μB.
Fractional positions:
N 0.500 0.500 0.500  -0.02
Ce 0.883 0.883 0.352  0.73
Ce 0.117 0.117 0.648  0.73
Cd 0.000 0.000 0.000  0.00

---

No. 8
DFT (GGA-PBE) results for a relaxed structure of ThZrBe.

Calculated values
DFT total energy = -19.246 eV per cell
Space group = No. 107
DOS at the Fermi energy = 2.9 states/eV/f.u.
E_form = 43 kJ/mol of formula units
Excess energy over the best structure of this formula in the dataset = 0.0828 eV per atom

Unit cell a=3.241 b=3.241 c=6.585 alpha=104.25 beta=104.25 gamma=90.00
Fractional positions:
Zr 0.303 0.303 0.606
Be 0.679 0.679 0.359
Th 0.018 0.018 0.036

---

No. 9
DFT (GGA-PBE) results for a relaxed structure of ScBiTeO5.

Calculated values
DFT total energy = -105.100 eV per cell
Space group = No. 15
Uncorrected formation energy = -1.801 eV per atom
DOS at the Fermi energy = 0.0 states/eV/f.u.

Unit cell a=6.067 b=6.067 c=8.412 alpha=110.74 beta=110.74 gamma=100.57
Fractional positions:
O 0.896 0.338 0.074
O 0.104 0.662 0.926
O 0.662 0.104 0.426
O 0.377 0.213 0.098
O 0.947 0.053 0.750
O 0.338 0.896 0.574
O 0.787 0.623 0.402
O 0.053 0.947 0.250
O 0.213 0.377 0.598
O 0.623 0.787 0.902
Sc 0.000 0.000 0.500
Sc 0.000 0.000 0.000
Bi 0.282 0.718 0.250
Bi 0.718 0.282 0.750
Te 0.721 0.279 0.250
Te 0.279 0.721 0.750

---

No. 10
DFT (GGA-PBE) results for a relaxed structure of TlP3.

Calculated values
DFT total energy = -14.973 eV per cell
Space group = No. 221
DOS at the Fermi energy = 2.3 states/eV/f.u.
E_form = 350 kJ/mol of formula units

Unit cell a=4.239 b=4.239 c=4.239 alpha=90.00 beta=90.00 gamma=90.00
Fractional positions:
P 0.500 0.500 0.000
P 0.500 0.000 0.500
P 0.000 0.500 0.500
Tl 0.000 0.000 0.000

---

No. 11
DFT (GGA-PBE) results for a relaxed structure of ZrTcCl2.

Calculated values
DFT total energy = -24.000 eV per cell
Space group = No. 35
Uncorrected formation energy = -0.348 eV per atom
DOS at the Fermi energy = 3.3 states/eV/f.u.
Excess energy over the best structure of this formula in the dataset = 0.2072 eV per atom

Unit cell a=3.195 b=3.195 c=9.451 alpha=90.00 beta=90.00 gamma=114.76
Last column: magnetic moment on the atom in μB.
Fractional positions:
Cl 0.500 0.500 0.317  0.02
Cl 0.000 0.000 0.938  0.00
Tc 0.000 0.000 0.515  0.24
Zr 0.500 0.500 0.730  -0.04

---

No. 12
DFT (GGA-PBE) results for a relaxed structure of Nd4PbI.

Calculated values
DFT total energy = -52.135 eV per cell
Space group = No. 2
Uncorrected formation energy = -0.290 eV per atom
DOS at the Fermi energy = 7.4 states/eV/f.u.

Unit cell a=6.727 b=7.690 c=9.372 alpha=107.94 beta=109.95 gamma=81.28
Fractional positions:
Nd 0.953 0.903 0.758
Nd 0.448 0.032 0.813
Nd 0.047 0.097 0.242
Nd 0.691 0.415 0.132
Nd 0.775 0.347 0.692
Nd 0.225 0.653 0.308
Nd 0.552 0.968 0.187
Nd 0.309 0.585 0.868
I 0.000 0.500 0.500
I 0.500 0.000 0.500
Pb 0.829 0.715 0.978
Pb 0.171 0.285 0.022

---

No. 13
DFT (GGA-PBE) results for a relaxed structure of AcDy2Ho5.

Calculated values
DFT total energy = -143.574 eV per cell
Space group = No. 55
DOS at the Fermi energy = 10.2 states/eV/f.u.
E_form = 30 kJ/mol of formula units

Unit cell a=7.185 b=7.177 c=20.153 alpha=90.00 beta=90.00 gamma=90.00
Fractional positions:
Ho 0.500 0.250 0.125
Ho 0.256 0.000 0.000
Ho 0.744 0.500 0.750
Ho 0.744 0.500 0.250
Ho 0.744 0.500 0.500
Ho 0.000 0.750 0.875
Ho 0.744 0.000 0.750
Ho 0.744 0.000 0.250
Ho 0.256 0.500 0.750
Ho 0.500 0.250 0.625
Ho 0.000 0.250 0.125
Ho 0.256 0.500 0.250
Ho 0.500 0.750 0.375
Ho 0.256 0.500 0.500
Ho 0.256 0.000 0.750
Ho 0.500 0.750 0.875
Ho 0.000 0.750 0.375
Ho 0.744 0.000 0.000
Ho 0.000 0.250 0.625
Ho 0.256 0.000 0.250
Dy 0.500 0.250 0.875
Dy 0.256 0.500 0.000
Dy 0.256 0.000 0.500
Dy 0.500 0.750 0.625
Dy 0.744 0.000 0.500
Dy 0.744 0.500 0.000
Dy 0.500 0.750 0.125
Dy 0.500 0.250 0.375
Ac 0.000 0.250 0.875
Ac 0.000 0.750 0.125
Ac 0.000 0.750 0.625
Ac 0.000 0.250 0.375

---

No. 14
DFT (GGA-PBE) results for a relaxed structure of Ba3CeBi3.

Calculated values
DFT total energy = -57.346 eV per cell
Space group = No. 12
DOS at the Fermi energy = 6.8 states/eV/f.u.
E_form = -514 kJ/mol of formula units

Unit cell a=9.032 b=9.032 c=8.990 alpha=93.36 beta=93.36 gamma=113.40
Last column: magnetic moment on the atom in μB.
Fractional positions:
Ba 0.833 0.167 0.500  0.00
Ba 0.230 0.770 0.000  0.01
Ba 0.167 0.833 0.500  0.00
Ba 0.615 0.615 0.359  0.01
Ba 0.385 0.385 0.641  0.01
Ba 0.770 0.230 0.000  0.01
Bi 0.841 0.509 0.709  -0.02
Bi 0.086 0.086 0.787  -0.02
Bi 0.914 0.914 0.213  -0.02
Bi 0.491 0.159 0.291  -0.02
Bi 0.509 0.841 0.709  -0.02
Bi 0.159 0.491 0.291  -0.02
Ce 0.791 0.791 0.875  0.88
Ce 0.209 0.209 0.125  0.88

---

No. 15
DFT (GGA-PBE) results for a relaxed structure of Sm2DyY2.

Calculated values
DFT total energy = -53.386 eV per cell
Space group = No. 36
DOS at the Fermi energy = 8.5 states/eV/f.u.
E_form = 27 kJ/mol of formula units
Excess energy over the best structure of this formula in the dataset = 0.0419 eV per atom

Unit cell a=5.498 b=7.086 c=8.873 alpha=90.00 beta=108.05 gamma=90.00
Fractional positions:
Dy 0.609 0.577 0.218
Dy 0.391 0.077 0.782
Sm 0.608 0.076 0.215
Sm 0.198 0.328 0.397
Sm 0.392 0.576 0.785
Sm 0.802 0.828 0.603
Y 0.801 0.327 0.602
Y 0.000 0.826 0.999
Y 0.199 0.827 0.398
Y 0.000 0.326 0.001

---

No. 16
DFT (GGA-PBE) results for a relaxed structure of Ca2ZnHg.

Calculated values
DFT total energy = -9.655 eV per cell
Space group = No. 122
DOS at the Fermi energy = 2.6 states/eV/f.u.
E_form = 73 kJ/mol of formula units
Excess energy over the best structure of this formula in the dataset = 0.5818 eV per atom

Unit cell a=6.886 b=6.886 c=8.363 alpha=65.69 beta=65.69 gamma=90.00
Fractional positions:
Ca 0.139 0.625 0.250
Ca 0.611 0.125 0.250
Ca 0.375 0.389 0.750
Ca 0.875 0.861 0.750
Hg 0.000 0.000 0.000
Hg 0.750 0.250 0.500
Zn 0.250 0.750 0.500
Zn 0.500 0.500 0.000

---

No. 17
DFT (GGA-PBE) results for a relaxed structure of NaSmTe2O8.

Calculated values
DFT total energy = -71.135 eV per cell
Space group = No. 82
Uncorrected formation energy = -1.596 eV per atom
DOS at the Fermi energy = 0.0 states/eV/f.u.

Unit cell a=5.344 b=5.344 c=6.905 alpha=112.77 beta=112.77 gamma=90.00
Fractional positions:
O 0.175 0.589 0.835
O 0.411 0.340 0.165
O 0.322 0.907 0.325
O 0.003 0.418 0.325
O 0.660 0.246 0.835
O 0.582 0.678 0.675
O 0.754 0.825 0.165
O 0.093 0.997 0.675
Te 0.250 0.750 0.500
Te 0.500 0.500 0.000
Sm 0.000 0.000 0.000
Na 0.750 0.250 0.500

---

No. 18
DFT (GGA-PBE) results for a relaxed structure of Cs2ZrOF6.

Calculated values
DFT total energy = -53.844 eV per cell
Space group = No. 139
Uncorrected formation energy = -2.740 eV per atom
DOS at the Fermi energy = 0.0 states/eV/f.u.

Unit cell a=6.577 b=6.577 c=6.893 alpha=61.51 beta=61.51 gamma=90.00
Last column: magnetic moment on the atom in μB.
Fractional positions:
F 0.219 0.781 0.000  0.02
F 0.219 0.219 0.000  0.02
F 0.781 0.781 0.000  0.02
F 0.799 0.799 0.401  0.00
F 0.781 0.219 0.000  0.02
F 0.201 0.201 0.599  0.00
Cs 0.250 0.750 0.500  0.00
Cs 0.750 0.250 0.500  0.00
O 0.500 0.500 0.000  1.51
Zr 0.000 0.000 0.000  0.01

---

No. 19
DFT (GGA-PBE) results for a relaxed structure of KMn2Se3.

Calculated values
DFT total energy = -66.748 eV per cell
Space group = No. 12
Uncorrected formation energy = -0.581 eV per atom
DOS at the Fermi energy = 2.7 states/eV/f.u.

Unit cell a=4.156 b=7.317 c=12.806 alpha=110.27 beta=99.34 gamma=90.00
Last column: magnetic moment on the atom in μB.
Fractional positions:
Mn 0.053 0.196 0.106  3.82
Mn 0.701 0.395 0.401  4.20
Mn 0.947 0.804 0.894  3.82
Mn 0.299 0.605 0.599  4.20
K 0.647 0.862 0.295  0.01
K 0.353 0.138 0.705  0.01
Se 0.600 0.370 0.200  0.00
Se 0.954 0.141 0.907  -0.03
Se 0.770 0.751 0.539  0.08
Se 0.046 0.859 0.093  -0.03
Se 0.400 0.630 0.800  0.00
Se 0.230 0.249 0.461  0.08

---

No. 20
DFT (GGA-PBE) results for a relaxed structure of La2ErCo.

Calculated values
DFT total energy = -20.802 eV per cell
Space group = No. 166
DOS at the Fermi energy = 5.9 states/eV/f.u.
E_form = 70 kJ/mol of formula units
Excess energy over the best structure of this formula in the dataset = 0.2885 eV per atom

Unit cell a=3.711 b=3.711 c=10.631 alpha=79.95 beta=79.95 gamma=60.00
Fractional positions:
Er 0.000 0.000 0.000
La 0.112 0.112 0.663
La 0.888 0.888 0.337
Co 0.500 0.500 0.500

---

No. 21
DFT (GGA-PBE) results for a relaxed structure of Tl3ClF2.

Calculated values
DFT total energy = -43.207 eV per cell
Space group = No. 11
Uncorrected formation energy = -1.486 eV per atom
DOS at the Fermi energy = 0.0 states/eV/f.u.
Excess energy over the best structure of this formula in the dataset = 0.0000 eV per atom

Unit cell a=4.206 b=7.336 c=11.839 alpha=87.16 beta=90.00 gamma=90.00
Fractional positions:
F 0.250 0.425 0.416
F 0.250 0.953 0.109
F 0.750 0.047 0.891
F 0.750 0.575 0.584
Tl 0.250 0.102 0.301
Tl 0.250 0.227 0.965
Tl 0.250 0.386 0.632
Tl 0.750 0.773 0.035
Tl 0.750 0.898 0.699
Tl 0.750 0.614 0.368
Cl 0.750 0.318 0.183
Cl 0.250 0.682 0.817

---

No. 22
DFT (GGA-PBE) results for a relaxed structure of PrY7Mg4.

Calculated values
DFT total energy = -54.647 eV per cell
Space group = No. 12
DOS at the Fermi energy = 18.1 states/eV/f.u.
E_form = 170 kJ/mol of formula units

Unit cell a=5.777 b=9.123 c=8.103 alpha=69.07 beta=69.12 gamma=71.54
Fractional positions:
Y 0.205 0.122 0.469
Y 0.500 0.000 0.000
Y 0.079 0.576 0.267
Y 0.746 0.295 0.214
Y 0.254 0.705 0.786
Y 0.795 0.878 0.531
Y 0.921 0.424 0.733
Pr 0.000 0.000 0.000
Mg 0.676 0.656 0.993
Mg 0.541 0.302 0.616
Mg 0.324 0.344 0.007
Mg 0.459 0.698 0.384